#i
14
Lattice="5.680 -5.880 0.000 5.680 5.880 0.000 0.000 0.000 5.848" Properties=species:S:1:pos:R:3 comment="Sn3Se3S | Alexandria via LeMat-Bulk | PBE | optimized geometry" space_group="Cmcm, No. 63" pbc="T T T"
Sn 5.680 4.374 4.386
Sn 3.026 1.478 4.386
Sn 3.026 -1.478 1.462
Sn 8.334 1.478 4.386
Sn 8.334 -1.478 1.462
Sn 5.680 -4.374 1.462
Se 5.680 4.459 1.462
Se 2.866 1.489 1.462
Se 2.866 -1.489 4.386
Se 8.493 1.489 1.462
Se 8.493 -1.489 4.386
Se 5.680 -4.459 4.386
S 5.680 1.807 4.386
S 5.680 -1.807 1.462

#ii
14
Lattice="9.096 0.000 0.000 0.000 4.011 0.000 -1.904 0.000 10.515" Properties=species:S:1:pos:R:3 comment="Sn3Se3S | Alexandria via LeMat-Bulk | PBE | optimized geometry" space_group="P2_1/m, No. 11" pbc="T T T"
Sn -0.017 1.003 2.813
Sn 2.958 3.008 0.730
Sn 2.294 3.008 5.804
Sn 4.899 1.003 4.710
Sn 4.235 1.003 9.785
Sn 7.210 3.008 7.702
Se -0.600 1.003 10.481
Se 0.452 1.003 5.851
Se 2.493 3.008 8.870
Se 4.700 1.003 1.645
Se 6.741 3.008 4.663
Se 7.793 3.008 0.034
S 1.769 3.008 3.058
S 5.424 1.003 7.457

Taking the most stable structure as the zero point, the relative energies in meV/atom are #i 42; #ii 0.

#i
5
Lattice="4.929 0.000 0.000 0.000 4.929 0.000 0.000 0.000 4.929" Properties=species:S:1:pos:R:3 comment="SnSe3S | Alexandria via LeMat-Bulk | PBE | optimized geometry" space_group="Pm-3m, No. 221" pbc="T T T"
Sn 0.000 0.000 0.000
Se 0.000 2.464 2.464
Se 2.464 0.000 2.464
Se 2.464 2.464 0.000
S 2.464 2.464 2.464

#ii
5
Lattice="5.323 0.000 0.000 0.000 5.323 0.000 0.000 0.000 5.323" Properties=species:S:1:pos:R:3 comment="SnSe3S | Alexandria via LeMat-Bulk | PBE | optimized geometry" space_group="Pm-3m, No. 221" pbc="T T T"
Sn 0.000 0.000 0.000
Se 0.000 0.000 2.662
Se 0.000 2.662 0.000
Se 2.662 0.000 0.000
S 2.662 2.662 2.662

Taking the most stable structure as the zero point, the relative energies in meV/atom are #i 0; #ii 579.

#i
20
Lattice="7.678 0.000 0.000 0.000 6.858 0.000 0.000 0.000 9.866" Properties=species:S:1:pos:R:3 comment="SrSeS3 | Alexandria via LeMat-Bulk | PBE | optimized geometry" space_group="Pna2_1, No. 33" pbc="T T T"
Sr 0.854 0.288 0.000
Sr 2.985 3.718 4.933
Sr 4.693 3.141 0.000
Sr 6.824 6.570 4.933
Se 0.460 3.772 2.052
Se 3.379 0.343 6.985
Se 4.299 6.515 2.052
Se 7.218 3.086 6.985
S 0.096 2.570 4.908
S 1.350 5.615 2.925
S 1.627 5.820 6.854
S 2.211 2.391 1.921
S 2.489 2.186 7.858
S 3.743 6.000 9.842
S 3.935 0.859 4.908
S 5.189 4.672 2.925
S 5.466 4.468 6.854
S 6.050 1.038 1.921
S 6.327 1.243 7.858
S 7.582 4.288 9.842

#ii
5
Lattice="5.522 0.000 0.000 0.000 5.522 0.000 0.000 0.000 5.522" Properties=species:S:1:pos:R:3 comment="SrSeS3 | Alexandria via LeMat-Bulk | PBE | optimized geometry" space_group="Pm-3m, No. 221" pbc="T T T"
Sr 0.000 0.000 0.000
Se 2.761 2.761 2.761
S 0.000 0.000 2.761
S 0.000 2.761 0.000
S 2.761 0.000 0.000

#iii
5
Lattice="4.870 0.000 0.000 0.000 4.870 0.000 0.000 0.000 4.870" Properties=species:S:1:pos:R:3 comment="SrSeS3 | Alexandria via LeMat-Bulk | PBE | optimized geometry" space_group="Pm-3m, No. 221" pbc="T T T"
Sr 0.000 0.000 0.000
Se 2.435 2.435 2.435
S 0.000 2.435 2.435
S 2.435 0.000 2.435
S 2.435 2.435 0.000

Taking the most stable structure as the zero point, the relative energies in meV/atom are #i 0; #ii 1510; #iii 239.

#i
8
Lattice="7.181 -2.164 0.000 7.181 2.164 0.000 -1.308 0.000 7.388" Properties=species:S:1:pos:R:3 comment="Sr4SeS3 | Alexandria via LeMat-Bulk | PBE | optimized geometry" space_group="C2/m, No. 12" pbc="T T T"
Sr 1.305 0.000 2.812
Sr 5.163 0.000 0.955
Sr 7.891 0.000 6.433
Sr 11.749 0.000 4.576
Se 0.000 0.000 0.000
S 2.629 0.000 5.533
S 6.527 0.000 3.694
S 10.425 0.000 1.855

#ii
8
Lattice="6.128 0.000 0.000 0.000 6.128 0.000 0.000 0.000 6.128" Properties=species:S:1:pos:R:3 comment="Sr4SeS3 | Alexandria via LeMat-Bulk | PBE | optimized geometry" space_group="Pm-3m, No. 221" pbc="T T T"
Sr 0.000 0.000 0.000
Sr 0.000 3.064 3.064
Sr 3.064 0.000 3.064
Sr 3.064 3.064 0.000
Se 3.064 3.064 3.064
S 0.000 0.000 3.064
S 0.000 3.064 0.000
S 3.064 0.000 0.000

Taking the most stable structure as the zero point, the relative energies in meV/atom are #i 0; #ii 6.

#i
16
Lattice="3.427 -3.434 0.000 3.427 3.434 0.000 0.000 0.000 14.872" Properties=species:S:1:pos:R:3 comment="Ta2SeS | Alexandria via LeMat-Bulk | PBE | optimized geometry" space_group="Cmme, No. 67" pbc="T T T"
Ta 1.995 1.717 4.425
Ta 3.427 3.142 12.058
Ta 3.427 0.292 12.058
Ta 4.859 1.717 4.425
Ta 1.995 -1.717 10.447
Ta 3.427 -0.292 2.814
Ta 3.427 -3.142 2.814
Ta 4.859 -1.717 10.447
Se 3.427 3.257 9.291
Se 3.427 0.177 9.291
Se 3.427 -0.177 5.581
Se 3.427 -3.257 5.581
S 1.905 1.717 1.890
S 4.949 1.717 1.890
S 1.905 -1.717 12.981
S 4.949 -1.717 12.981

#ii
4
Lattice="0.000 3.162 3.162 3.162 0.000 3.162 3.162 3.162 0.000" Properties=species:S:1:pos:R:3 comment="Ta2SeS | Alexandria via LeMat-Bulk | PBE | optimized geometry" space_group="Fm-3m, No. 225" pbc="T T T"
Ta 1.581 1.581 1.581
Ta 4.742 4.742 4.742
Se 0.000 0.000 0.000
S 3.162 3.162 3.162

Taking the most stable structure as the zero point, the relative energies in meV/atom are #i 0; #ii 210.

#i
10
Lattice="6.408 0.000 0.000 0.000 3.389 0.000 -2.240 0.000 8.790" Properties=species:S:1:pos:R:3 comment="Ta2SeS2 | Alexandria via LeMat-Bulk | PBE | optimized geometry" space_group="P2_1/m, No. 11" pbc="T T T"
Ta 0.474 0.847 1.162
Ta 0.935 0.847 4.472
Ta 3.233 2.542 4.318
Ta 3.695 2.542 7.628
Se -0.616 2.542 3.002
Se 4.784 0.847 5.789
S -0.538 2.542 8.691
S 1.565 2.542 6.139
S 2.604 0.847 2.651
S 4.706 0.847 0.099

#ii
10
Lattice="-3.247 3.247 4.864 3.247 -3.247 4.864 3.247 3.247 -4.864" Properties=species:S:1:pos:R:3 comment="Ta2SeS2 | Alexandria via LeMat-Bulk | PBE | optimized geometry" space_group="I4_1md, No. 109" pbc="T T T"
Ta 0.000 1.618 0.000
Ta -1.618 3.247 2.432
Ta 1.618 3.247 2.432
Ta 0.000 4.875 0.000
Se 3.247 0.000 2.934
Se 0.000 0.000 5.366
S 1.767 0.000 0.045
S 4.727 0.000 0.045
S 3.247 1.767 -2.387
S 0.000 1.480 2.477

Taking the most stable structure as the zero point, the relative energies in meV/atom are #i 0; #ii 389.